Material: BeAlCdPd2
Method: DFT, GGA-PBEsol
State: optimized geometry

Calculated values
**Energy of formation from the pure elements**: -0.068 eV/atom
**D(E_F)**: 0.339 states/eV per atom
**Spin magnetization**: 0.000 μB per formula unit
**Uncorrected energy**: -4.3092 eV per atom

a = 4.2559 Å, b = 4.2316 Å, c = 4.2316 Å
α = 90.00°, β = 90.00°, γ = 90.00°
Closest atoms and distances in Å follow each position.
Element x y z (fractional)
Al 0.5000 0.0000 0.0000  2 Be 2.13
Pd 0.0000 0.0000 0.5000  2 Be 2.12
Be 0.0000 0.0000 0.0000  4 Pd 2.12, 2 Al 2.13
Pd 0.0000 0.5000 0.0000  2 Be 2.12
Cd 0.5000 0.5000 0.5000  4 Al 2.99, 8 Pd 3.00